Compound: Tl2CoRe
Source: Alexandria
Functional: PBE
Structure: relaxed

Cell lengths 6.580, 6.580, 6.580 Å; angles 90.00, 90.00, 90.00 degrees
Fractional coordinates of all 16 atoms:
Tl (0.250, 0.250, 0.250)
Tl (0.250, 0.250, 0.750)
Tl (0.250, 0.750, 0.250)
Tl (0.250, 0.750, 0.750)
Tl (0.750, 0.250, 0.250)
Tl (0.750, 0.250, 0.750)
Tl (0.750, 0.750, 0.250)
Tl (0.750, 0.750, 0.750)
Co (0.000, 0.000, 0.000)
Co (0.000, 0.500, 0.500)
Co (0.500, 0.000, 0.500)
Co (0.500, 0.500, 0.000)
Re (0.000, 0.000, 0.500)
Re (0.000, 0.500, 0.000)
Re (0.500, 0.000, 0.000)
Re (0.500, 0.500, 0.500)

Output
SG   Fm-3m
Distance to the lowest polymorph of the same formula   2.16 eV per formula unit
Formation energy from the elements   1.10 eV/atom
Calculated total energy   -19.88 eV/f.u.
Volume   17.80 Å³/atom

---

Compound: Tl2CoRe
Source: Alexandria
Functional: PBE
Structure: relaxed

Cell lengths 4.031, 4.031, 9.050 Å; angles 90.00, 90.00, 90.00 degrees
Fractional coordinates of all 8 atoms:
Tl (0.000, 0.000, 0.000)
Tl (0.000, 0.500, 0.250)
Tl (0.500, 0.000, 0.750)
Tl (0.500, 0.500, 0.500)
Co (0.000, 0.500, 0.750)
Co (0.500, 0.000, 0.250)
Re (0.000, 0.000, 0.500)
Re (0.500, 0.500, 0.000)

Output
SG   I-4m2
Distance to the lowest polymorph of the same formula   2.07 eV per formula unit
Formation energy from the elements   1.08 eV/atom
Calculated total energy   -19.97 eV/f.u.
Volume   18.39 Å³/atom

---

Compound: TlCoRe2
Source: Alexandria
Functional: PBE
Structure: relaxed

Cell lengths 3.779, 3.779, 19.301 Å; angles 90.00, 90.00, 90.00 degrees
Fractional coordinates of all 16 atoms:
Tl (0.000, 0.000, 0.000)
Tl (0.000, 0.500, 0.250)
Tl (0.500, 0.000, 0.750)
Tl (0.500, 0.500, 0.500)
Co (0.000, 0.000, 0.500)
Co (0.000, 0.500, 0.750)
Co (0.500, 0.000, 0.250)
Co (0.500, 0.500, 0.000)
Re (0.203, 0.250, 0.625)
Re (0.250, 0.703, 0.875)
Re (0.250, 0.797, 0.375)
Re (0.297, 0.250, 0.125)
Re (0.703, 0.750, 0.125)
Re (0.750, 0.203, 0.375)
Re (0.750, 0.297, 0.875)
Re (0.797, 0.750, 0.625)

Output
SG   I-42d
Distance to the lowest polymorph of the same formula   2.18 eV per formula unit
Formation energy from the elements   1.05 eV/atom
Calculated total energy   -30.18 eV/f.u.
Volume   17.23 Å³/atom

---

Compound: TlCoRe2
Source: Alexandria
Functional: PBE
Structure: relaxed

Cell lengths 6.320, 6.320, 6.320 Å; angles 90.00, 90.00, 90.00 degrees
Fractional coordinates of all 16 atoms:
Tl (0.000, 0.000, 0.000)
Tl (0.000, 0.500, 0.500)
Tl (0.500, 0.000, 0.500)
Tl (0.500, 0.500, 0.000)
Co (0.250, 0.250, 0.250)
Co (0.250, 0.750, 0.750)
Co (0.750, 0.250, 0.750)
Co (0.750, 0.750, 0.250)
Re (0.000, 0.000, 0.500)
Re (0.000, 0.500, 0.000)
Re (0.250, 0.250, 0.750)
Re (0.250, 0.750, 0.250)
Re (0.500, 0.000, 0.000)
Re (0.500, 0.500, 0.500)
Re (0.750, 0.250, 0.250)
Re (0.750, 0.750, 0.750)

Output
SG   F-43m
Distance to the lowest polymorph of the same formula   1.17 eV per formula unit
Formation energy from the elements   0.80 eV/atom
Calculated total energy   -31.19 eV/f.u.
Volume   15.77 Å³/atom

---

Compound: Tl2CoRe
Source: Alexandria
Functional: PBE
Structure: relaxed

Cell lengths 3.032, 5.231, 9.180 Å; angles 90.00, 90.00, 90.00 degrees
Fractional coordinates of all 8 atoms:
Tl (0.000, 0.000, 0.232)
Tl (0.000, 0.000, 0.768)
Tl (0.500, 0.500, 0.268)
Tl (0.500, 0.500, 0.732)
Co (0.000, 0.500, 0.500)
Co (0.500, 0.000, 0.000)
Re (0.000, 0.500, 0.000)
Re (0.500, 0.000, 0.500)

Output
SG   Immm
Distance to the lowest polymorph of the same formula   1.96 eV per formula unit
Formation energy from the elements   1.05 eV/atom
Calculated total energy   -20.07 eV/f.u.
Volume   18.20 Å³/atom

---

Compound: TlCoRe2
Source: Alexandria
Functional: PBE
Structure: relaxed

Cell lengths 2.997, 2.997, 7.177 Å; angles 90.00, 90.00, 90.00 degrees
Fractional coordinates of all 4 atoms:
Tl (0.000, 0.000, 0.000)
Co (0.500, 0.500, 0.261)
Re (0.000, 0.000, 0.476)
Re (0.500, 0.500, 0.687)

Output
SG   P4mm
Distance to the lowest polymorph of the same formula   0.00 eV per formula unit
Formation energy from the elements   0.50 eV/atom
Calculated total energy   -32.36 eV/f.u.
Volume   16.11 Å³/atom

---

Compound: TlCoRe2
Source: Alexandria
Functional: PBE
Structure: relaxed

Cell lengths 5.421, 9.668, 2.853 Å; angles 90.00, 120.69, 90.00 degrees
Fractional coordinates of all 8 atoms:
Tl (0.000, 0.000, 0.000)
Tl (0.500, 0.500, 0.000)
Co (0.000, 0.500, 0.000)
Co (0.500, 0.000, 0.000)
Re (0.250, 0.250, 0.500)
Re (0.250, 0.750, 0.500)
Re (0.750, 0.250, 0.500)
Re (0.750, 0.750, 0.500)

Output
SG   C2/m
Distance to the lowest polymorph of the same formula   1.57 eV per formula unit
Formation energy from the elements   0.89 eV/atom
Calculated total energy   -30.80 eV/f.u.
Volume   16.07 Å³/atom

---

Compound: Tl2CoRe
Source: Alexandria
Functional: PBE
Structure: relaxed

Cell lengths 3.056, 3.056, 28.372 Å; angles 90.00, 90.00, 120.00 degrees
Fractional coordinates of all 12 atoms:
Tl (0.000, 0.000, 0.000)
Tl (0.000, 0.000, 0.230)
Tl (0.333, 0.667, 0.667)
Tl (0.333, 0.667, 0.897)
Tl (0.667, 0.333, 0.333)
Tl (0.667, 0.333, 0.563)
Co (0.000, 0.000, 0.747)
Co (0.333, 0.667, 0.414)
Co (0.667, 0.333, 0.080)
Re (0.000, 0.000, 0.475)
Re (0.333, 0.667, 0.142)
Re (0.667, 0.333, 0.808)

Output
SG   R3m
Distance to the lowest polymorph of the same formula   0.62 eV per formula unit
Formation energy from the elements   0.72 eV/atom
Calculated total energy   -21.42 eV/f.u.
Volume   19.12 Å³/atom

---

Compound: Tl2CoRe
Source: Alexandria
Functional: PBE
Structure: relaxed

Cell lengths 2.947, 2.947, 9.497 Å; angles 90.00, 90.00, 90.00 degrees
Fractional coordinates of all 4 atoms:
Tl (0.000, 0.000, 0.000)
Tl (0.500, 0.500, 0.369)
Co (0.000, 0.000, 0.608)
Re (0.500, 0.500, 0.746)

Output
SG   P4mm
Distance to the lowest polymorph of the same formula   0.00 eV per formula unit
Formation energy from the elements   0.56 eV/atom
Calculated total energy   -22.04 eV/f.u.
Volume   20.62 Å³/atom

---

Compound: TlCoRe2
Source: Alexandria
Functional: PBE
Structure: relaxed

Cell lengths 2.832, 2.832, 27.467 Å; angles 90.00, 90.00, 120.00 degrees
Fractional coordinates of all 12 atoms:
Tl (0.000, 0.000, 0.000)
Tl (0.333, 0.667, 0.667)
Tl (0.667, 0.333, 0.333)
Co (0.000, 0.000, 0.500)
Co (0.333, 0.667, 0.167)
Co (0.667, 0.333, 0.833)
Re (0.000, 0.000, 0.239)
Re (0.000, 0.000, 0.761)
Re (0.333, 0.667, 0.428)
Re (0.333, 0.667, 0.906)
Re (0.667, 0.333, 0.094)
Re (0.667, 0.333, 0.572)

Output
SG   R-3m
Distance to the lowest polymorph of the same formula   1.03 eV per formula unit
Formation energy from the elements   0.76 eV/atom
Calculated total energy   -31.33 eV/f.u.
Volume   15.90 Å³/atom

---

Compound: Tl3CoRe
Source: Alexandria
Functional: PBE
Structure: relaxed

Cell lengths 5.013, 5.013, 5.013 Å; angles 90.00, 90.00, 90.00 degrees
Fractional coordinates of all 5 atoms:
Tl (0.000, 0.000, 0.500)
Tl (0.000, 0.500, 0.000)
Tl (0.500, 0.000, 0.000)
Co (0.000, 0.000, 0.000)
Re (0.500, 0.500, 0.500)

Output
SG   Pm-3m
Distance to the lowest polymorph of the same formula   0.00 eV per formula unit
Formation energy from the elements   1.32 eV/atom
Calculated total energy   -20.05 eV/f.u.
Volume   25.19 Å³/atom

---

Compound: Tl2CoRe2
Source: Alexandria
Functional: PBE
Structure: relaxed

Cell lengths 3.496, 3.496, 16.935 Å; angles 90.00, 90.00, 90.00 degrees
Fractional coordinates of all 10 atoms:
Tl (0.000, 0.000, 0.098)
Tl (0.000, 0.000, 0.902)
Tl (0.500, 0.500, 0.402)
Tl (0.500, 0.500, 0.598)
Co (0.000, 0.000, 0.500)
Co (0.500, 0.500, 0.000)
Re (0.000, 0.500, 0.250)
Re (0.000, 0.500, 0.750)
Re (0.500, 0.000, 0.250)
Re (0.500, 0.000, 0.750)

Output
SG   I4/mmm
Distance to the lowest polymorph of the same formula   0.00 eV per formula unit
Formation energy from the elements   1.11 eV/atom
Calculated total energy   -31.20 eV/f.u.
Volume   20.70 Å³/atom

---

What did the tenth record say?
Compound: TlCoRe2
Source: Alexandria
Functional: PBE
Structure: relaxed

Cell lengths 2.832, 2.832, 27.467 Å; angles 90.00, 90.00, 120.00 degrees
Fractional coordinates of all 12 atoms:
Tl (0.000, 0.000, 0.000)
Tl (0.333, 0.667, 0.667)
Tl (0.667, 0.333, 0.333)
Co (0.000, 0.000, 0.500)
Co (0.333, 0.667, 0.167)
Co (0.667, 0.333, 0.833)
Re (0.000, 0.000, 0.239)
Re (0.000, 0.000, 0.761)
Re (0.333, 0.667, 0.428)
Re (0.333, 0.667, 0.906)
Re (0.667, 0.333, 0.094)
Re (0.667, 0.333, 0.572)

Output
SG   R-3m
Distance to the lowest polymorph of the same formula   1.03 eV per formula unit
Formation energy from the elements   0.76 eV/atom
Calculated total energy   -31.33 eV/f.u.
Volume   15.90 Å³/atom

---

Please write out number 8 again, unchanged.
Compound: Tl2CoRe
Source: Alexandria
Functional: PBE
Structure: relaxed

Cell lengths 3.056, 3.056, 28.372 Å; angles 90.00, 90.00, 120.00 degrees
Fractional coordinates of all 12 atoms:
Tl (0.000, 0.000, 0.000)
Tl (0.000, 0.000, 0.230)
Tl (0.333, 0.667, 0.667)
Tl (0.333, 0.667, 0.897)
Tl (0.667, 0.333, 0.333)
Tl (0.667, 0.333, 0.563)
Co (0.000, 0.000, 0.747)
Co (0.333, 0.667, 0.414)
Co (0.667, 0.333, 0.080)
Re (0.000, 0.000, 0.475)
Re (0.333, 0.667, 0.142)
Re (0.667, 0.333, 0.808)

Output
SG   R3m
Distance to the lowest polymorph of the same formula   0.62 eV per formula unit
Formation energy from the elements   0.72 eV/atom
Calculated total energy   -21.42 eV/f.u.
Volume   19.12 Å³/atom

---

Question: volume of number 3 (TlCoRe2)?
Answer: 17.23 Å³/atom

---

Question: Which formula does entry 1 have?
Answer: Tl2CoRe